A plane-wave DFT calculation with PBE was carried out for a relaxed KAu crystal.

Lattice parameters (Å, degrees): 11.6620 4.9977 8.6253 90.00 132.47 90.00
Closest atoms and distances in Å follow each position.
Space group Cm (No. 8)
One atom of each set of equivalent atoms:
K 0.0000 0.0000 0.0000  4 Au 3.22-3.34, 2 K 3.54
K 0.0606 0.5000 0.6971  7 Au 3.36-3.61
K 0.1972 0.5000 0.3938  4 Au 3.23-3.35, 2 K 3.54
Au 0.2537 0.0000 0.6973  2 Au 2.88
Au 0.3236 0.0000 0.0875  3 Au 2.86-2.88
Au 0.4338 0.5000 0.3074  3 Au 2.86-2.88

Output
ρ: 6.3 g/cm³
Spin magnetization: 0.00 μB per formula unit
Electronic total energy: -2.46 eV/atom